(1)
DFT (PBE) results for Ca2Ge3Au9 after structural relaxation.

a = 8.1503 Å, b = 8.1503 Å, c = 10.7881 Å
α = 89.50°, β = 112.80°, γ = 119.91°
Fractional positions:
Ca 0.9981 0.5851 0.7454
Ca 0.0019 0.4149 0.2546
Ca 0.6602 0.7472 0.2454
Ca 0.3398 0.2528 0.7546
Au 0.1132 0.8632 0.2500
Au 0.8683 0.0178 0.0783
Au 0.4449 0.6479 0.9119
Au 0.1317 0.9822 0.9217
Au 0.2360 0.5330 0.5881
Au 0.1197 0.1370 0.4288
Au 0.3053 0.2979 0.2374
Au 0.8868 0.1368 0.7500
Au 0.8803 0.8630 0.5712
Au 0.4395 0.9320 0.7374
Au 0.5551 0.3521 0.0881
Au 0.7640 0.4670 0.4119
Au 0.6947 0.7021 0.7626
Au 0.5605 0.2100 0.5783
Au 0.2083 0.6909 0.0712
Au 0.5605 0.0680 0.2626
Au 0.4395 0.7900 0.4217
Au 0.7917 0.3091 0.9288
Ge 0.5000 0.0000 0.0000
Ge 0.1249 0.8043 0.4924
Ge 0.5000 0.5000 0.5000
Ge 0.8751 0.1957 0.5076
Ge 0.1881 0.3675 0.9924
Ge 0.8119 0.6325 0.0076

Summary:
The density of states at the Fermi level comes out at 5.904 states/eV/f.u. As for the size of the total moment: 0.0 μB/f.u. The value obtained for the total energy is -3.7155 eV per atom. The formation energy is -0.33 eV/atom.

(2)
DFT (PBE) results for TbZn3Si2 after structural relaxation.

a = 4.2226 Å, b = 7.9781 Å, c = 8.2615 Å
α = 123.40°, β = 90.00°, γ = 105.35°
Fractional positions:
Zn 0.2784 0.5569 0.5888
Zn 0.9430 0.8860 0.6287
Zn 0.6116 0.2232 0.7721
Zn 0.3884 0.7768 0.2279
Zn 0.7216 0.4431 0.4112
Zn 0.0570 0.1140 0.3713
Si 0.4730 0.9460 0.8353
Si 0.5270 0.0540 0.1647
Si 0.8259 0.6518 0.2662
Si 0.1741 0.3482 0.7338
Tb 0.8503 0.7006 0.9139
Tb 0.1497 0.2994 0.0861

Summary:
The density of states at the Fermi level comes out at 1.872 states/eV/f.u. As for the size of the total moment: 0.0 μB/f.u. The value obtained for the total energy is -3.4638 eV per atom. The value obtained for the energy relative to the elements, uncorrected is -0.2474 eV/atom.

(3)
DFT (PBE) results for PmTmZnIr after structural relaxation.

a = 3.9408 Å, b = 4.3144 Å, c = 5.7246 Å
α = 90.00°, β = 110.13°, γ = 90.00°
Fractional positions:
Zn 0.5685 0.5000 0.1370
Pm 0.1435 0.0000 0.2870
Tm 0.8626 0.5000 0.7252
Ir 0.4254 0.0000 0.8507

Summary:
The density of states at the Fermi level comes out at 2.914 states/eV/f.u. As for the size of the total moment: 0.0 μB/f.u. The value obtained for the total energy is -5.4206 eV per atom. The formation energy is -0.58 eV/atom.